The following is a PBE calculation of a relaxed Ce2Ga12Ag crystal, from Alexandria via LeMat-Bulk.

Summary:
- Space-group type: P4/nbm, No. 125
- Formation energy: -0.30 eV per atom
- Total moment: 1.3 μB per formula unit

abc: 6.2259 6.2259 15.4079
angles: 90.00 90.00 90.00
Fractional positions:
Ce 0.5000 0.0000 0.2473
Ce 0.0000 0.5000 0.2473
Ce 0.0000 0.5000 0.7527
Ce 0.5000 0.0000 0.7527
Ga 0.5000 0.5000 0.8137
Ga 0.0000 0.0000 0.8137
Ga 0.7502 0.7498 0.9065
Ga 0.2502 0.7502 0.9065
Ga 0.0000 0.0000 0.3448
Ga 0.2498 0.7498 0.0935
Ga 0.8288 0.3288 0.5706
Ga 0.5000 0.5000 0.3448
Ga 0.2498 0.2502 0.9065
Ga 0.7498 0.7502 0.0935
Ga 0.3288 0.1712 0.5706
Ga 0.6712 0.1712 0.4294
Ga 0.0000 0.0000 0.6552
Ga 0.1712 0.3288 0.4294
Ga 0.2502 0.2498 0.0935
Ga 0.8288 0.6712 0.4294
Ga 0.6712 0.8288 0.5706
Ga 0.0000 0.0000 0.1863
Ga 0.1712 0.6712 0.5706
Ga 0.5000 0.5000 0.6552
Ga 0.7498 0.2498 0.9065
Ga 0.5000 0.5000 0.1863
Ga 0.3288 0.8288 0.4294
Ga 0.7502 0.2502 0.0935
Ag 0.5000 0.0000 0.0000
Ag 0.0000 0.5000 0.0000

---

The following is a PBE calculation of a relaxed VGa2CuSi crystal, from Alexandria via LeMat-Bulk.

Summary:
- Space-group type: P4/mmm, No. 123
- ΔE_f (raw): 0.941 eV/atom
- Total moment: 0.1 μB per formula unit

abc: 4.7408 4.2637 4.7408
angles: 90.00 90.00 90.00
Fractional positions:
Si 0.0000 0.0000 0.0000
Cu 0.0000 0.5000 0.0000
Ga 0.0000 0.0000 0.5000
Ga 0.5000 0.0000 0.0000
V 0.5000 0.5000 0.5000

---

The following is a PBE calculation of a relaxed Zn2PBr crystal, from Alexandria via LeMat-Bulk.

Summary:
- Polymorph energy (0 for the lowest one): 750 meV per atom
- Space-group type: P4/mmm, No. 123
- ΔE_f (raw): 0.296 eV/atom
- Total moment: 0.0 μB per formula unit

abc: 4.8904 4.8904 3.1074
angles: 90.00 90.00 90.00
Fractional positions:
Zn 0.5000 0.0000 0.0000
Zn 0.0000 0.5000 0.0000
P 0.0000 0.0000 0.5000
Br 0.5000 0.5000 0.5000

---

The following is a PBE calculation of a relaxed Tb3PrErSc crystal, from Alexandria via LeMat-Bulk.

Summary:
- Space-group type: Cmcm, No. 63
- Formation energy: 0.04 eV per atom
- Total moment: 0.0 μB per formula unit

abc: 4.9777 7.8765 10.0257
angles: 90.00 90.00 108.42
Fractional positions:
Tb 0.6676 0.3353 0.4999
Tb 0.3324 0.6647 0.5001
Tb 0.3324 0.6647 0.9999
Tb 0.6676 0.3353 0.0001
Tb 0.1697 0.3394 0.7500
Tb 0.8303 0.6606 0.2500
Pr 0.4969 0.9938 0.7500
Pr 0.5031 0.0062 0.2500
Er 0.0000 0.0000 0.5000
Er 0.0000 0.0000 0.0000
Sc 0.8316 0.6632 0.7500
Sc 0.1684 0.3368 0.2500

---

The following is a PBE calculation of a relaxed K3PuI8 crystal, from Alexandria via LeMat-Bulk.

Summary:
- Space-group type: I4/mmm, No. 139
- ΔE_f (raw): -0.987 eV/atom
- Total moment: 3.7 μB per formula unit

abc: 8.2345 8.2345 9.9354
angles: 114.48 114.48 90.00
Fractional positions:
K 0.7500 0.2500 0.5000
K 0.5000 0.5000 0.0000
K 0.2500 0.7500 0.5000
Pu 0.0000 0.0000 0.0000
I 0.3436 0.3436 0.2308
I 0.3436 0.8872 0.2308
I 0.1128 0.6564 0.7692
I 0.1128 0.1128 0.7692
I 0.8872 0.8872 0.2308
I 0.8872 0.3436 0.2308
I 0.6564 0.1128 0.7692
I 0.6564 0.6564 0.7692

---

The following is a PBE calculation of a relaxed Sr2NiW crystal, from Alexandria via LeMat-Bulk.

Summary:
- Polymorph energy (0 for the lowest one): 579 meV per atom
- Space-group type: Fm-3m, No. 225
- Formation energy: 1.18 eV per atom
- Total moment: 4.0 μB per formula unit

abc: 5.3286 5.3286 5.3286
angles: 60.00 60.00 60.00
Fractional positions:
Sr 0.2500 0.2500 0.2500
Sr 0.7500 0.7500 0.7500
W 0.5000 0.5000 0.5000
Ni 0.0000 0.0000 0.0000

---

The following is a PBE calculation of a relaxed RbInHgAu2 crystal, from Alexandria via LeMat-Bulk.

Summary:
- Polymorph energy (0 for the lowest one): 0 meV per atom
- Space-group type: Imm2, No. 44
- Formation energy: -0.19 eV per atom
- Total moment: 0.0 μB per formula unit

abc: 4.7601 4.4770 7.2907
angles: 107.88 109.05 90.00
Fractional positions:
Rb 0.4488 0.4488 0.8976
In 0.1879 0.6879 0.3759
Hg 0.8362 0.8362 0.6725
Au 0.6845 0.1845 0.3690
Au 0.0547 0.0547 0.1093

---

The following is a PBE calculation of a relaxed PrSc2Al3 crystal, from Alexandria via LeMat-Bulk.

Summary:
- Space-group type: P4/mmm, No. 123
- Formation energy: -0.40 eV per atom
- Total moment: 0.0 μB per formula unit

abc: 3.4956 3.4956 10.5924
angles: 90.00 90.00 90.00
Fractional positions:
Pr 0.5000 0.5000 0.5000
Sc 0.5000 0.5000 0.8467
Sc 0.5000 0.5000 0.1533
Al 0.0000 0.0000 0.0000
Al 0.0000 0.0000 0.6985
Al 0.0000 0.0000 0.3015

---

The following is a PBE calculation of a relaxed Li3HfCr2S6 crystal, from Alexandria via LeMat-Bulk.

Summary:
- Space-group type: C2/m, No. 12
- ΔE_f (raw): -1.155 eV/atom
- Total moment: 5.2 μB per formula unit

abc: 6.0712 6.0712 6.4351
angles: 99.04 99.04 120.00
Fractional positions:
Li 0.1653 0.8347 0.5000
Li 0.8347 0.1653 0.5000
Li 0.5000 0.5000 0.5000
Hf 0.0000 0.0000 0.0000
Cr 0.3332 0.6668 0.0000
Cr 0.6668 0.3332 0.0000
S 0.9228 0.5740 0.7682
S 0.7290 0.7290 0.2331
S 0.0772 0.4260 0.2318
S 0.5740 0.9228 0.7682
S 0.2710 0.2710 0.7669
S 0.4260 0.0772 0.2318

---

The following is a PBE calculation of a relaxed AgRhCl3 crystal, from Alexandria via LeMat-Bulk.

Summary:
- Polymorph energy (0 for the lowest one): 0 meV per atom
- Space-group type: Pm-3m, No. 221
- ΔE_f (raw): -0.157 eV/atom
- Total moment: 0.0 μB per formula unit

abc: 4.8064 4.8064 4.8064
angles: 90.00 90.00 90.00
Fractional positions:
Rh 0.0000 0.0000 0.0000
Ag 0.5000 0.5000 0.5000
Cl 0.0000 0.5000 0.0000
Cl 0.0000 0.0000 0.5000
Cl 0.5000 0.0000 0.0000

---

The following is a PBE calculation of a relaxed CdB3Ir3 crystal, from Alexandria via LeMat-Bulk.

Summary:
- Space-group type: Pm-3n, No. 223
- Formation energy: 0.06 eV per atom
- Total moment: 0.0 μB per formula unit

abc: 5.8502 5.8502 5.8502
angles: 90.00 90.00 90.00
Fractional positions:
B 0.2500 0.0000 0.5000
B 0.0000 0.5000 0.2500
B 0.5000 0.7500 0.0000
B 0.7500 0.0000 0.5000
B 0.0000 0.5000 0.7500
B 0.5000 0.2500 0.0000
Ir 0.0000 0.2500 0.5000
Ir 0.0000 0.7500 0.5000
Ir 0.5000 0.0000 0.7500
Ir 0.7500 0.5000 0.0000
Ir 0.5000 0.0000 0.2500
Ir 0.2500 0.5000 0.0000
Cd 0.5000 0.5000 0.5000
Cd 0.0000 0.0000 0.0000

---

The following is a PBE calculation of a relaxed Rb2LiPuF6 crystal, from Alexandria via LeMat-Bulk.

Summary:
- Space-group type: Fm-3m, No. 225
- ΔE_f (raw): -3.105 eV/atom
- Total moment: 5.0 μB per formula unit

abc: 6.2519 6.2519 6.2528
angles: 59.99 59.99 89.98
Fractional positions:
Rb 0.2500 0.7500 0.5000
Rb 0.7500 0.2500 0.5000
Li 0.0000 0.0000 0.0000
Pu 0.5000 0.5000 0.0000
F 0.2417 0.7583 0.0000
F 0.7582 0.7582 0.0000
F 0.2418 0.2418 0.5165
F 0.7583 0.2417 0.0000
F 0.2418 0.2418 0.0000
F 0.7582 0.7582 0.4835

---

Copy entry 3 word for word.
The following is a PBE calculation of a relaxed Zn2PBr crystal, from Alexandria via LeMat-Bulk.

Summary:
- Polymorph energy (0 for the lowest one): 750 meV per atom
- Space-group type: P4/mmm, No. 123
- ΔE_f (raw): 0.296 eV/atom
- Total moment: 0.0 μB per formula unit

abc: 4.8904 4.8904 3.1074
angles: 90.00 90.00 90.00
Fractional positions:
Zn 0.5000 0.0000 0.0000
Zn 0.0000 0.5000 0.0000
P 0.0000 0.0000 0.5000
Br 0.5000 0.5000 0.5000

---

- Which of these has the highest total moment?
  Li3HfCr2S6

---

Please write out number 11 again, unchanged.
The following is a PBE calculation of a relaxed CdB3Ir3 crystal, from Alexandria via LeMat-Bulk.

Summary:
- Space-group type: Pm-3n, No. 223
- Formation energy: 0.06 eV per atom
- Total moment: 0.0 μB per formula unit

abc: 5.8502 5.8502 5.8502
angles: 90.00 90.00 90.00
Fractional positions:
B 0.2500 0.0000 0.5000
B 0.0000 0.5000 0.2500
B 0.5000 0.7500 0.0000
B 0.7500 0.0000 0.5000
B 0.0000 0.5000 0.7500
B 0.5000 0.2500 0.0000
Ir 0.0000 0.2500 0.5000
Ir 0.0000 0.7500 0.5000
Ir 0.5000 0.0000 0.7500
Ir 0.7500 0.5000 0.0000
Ir 0.5000 0.0000 0.2500
Ir 0.2500 0.5000 0.0000
Cd 0.5000 0.5000 0.5000
Cd 0.0000 0.0000 0.0000